(1)
A plane-wave DFT calculation with PBE-GGA was carried out for an optimized crystal structure of UTePb.

a b c (Å): 4.250 4.250 13.478
angles (deg): 90.00 90.00 120.00
Last column: magnetic moment on the atom in μB.
Element x y z (fractional)
U (0.667, 0.333, 0.230)  2.70
Pb (0.667, 0.333, 0.934)  -0.01
Te (0.667, 0.333, 0.636)  -0.08
Pb (0.333, 0.667, 0.066)  -0.01
U (0.333, 0.667, 0.770)  2.70
Te (0.333, 0.667, 0.364)  -0.08

Results
- calculated volume (A^3/atom) = 35.14
- final energy (eV per atom) = -6.038
- D(E_F) (states/eV/cell) = 12.664
- SG = P-3m1

---

(2)
A plane-wave DFT calculation with PBE-GGA was carried out for an optimized crystal structure of PmTm3Sc2Se6.

a b c (Å): 6.945 6.945 6.929
angles (deg): 99.56 99.56 120.14
Element x y z (fractional)
Se (0.434, 0.083, 0.251)
Sc (0.663, 0.337, 0.000)
Pm (0.000, 0.000, 0.000)
Sc (0.337, 0.663, 0.000)
Se (0.732, 0.732, 0.244)
Se (0.566, 0.917, 0.749)
Tm (0.157, 0.843, 0.500)
Tm (0.500, 0.500, 0.500)
Se (0.917, 0.566, 0.749)
Se (0.083, 0.434, 0.251)
Tm (0.843, 0.157, 0.500)
Se (0.268, 0.268, 0.756)

Results
- calculated volume (A^3/atom) = 22.71
- final energy (eV per atom) = -5.970
- D(E_F) (states/eV/cell) = 5.810
- SG = C2/m

---

(3)
A plane-wave DFT calculation with PBE-GGA was carried out for an optimized crystal structure of AcPr2Gd.

a b c (Å): 5.316 5.291 5.291
angles (deg): 90.00 90.00 90.00
Last column: magnetic moment on the atom in μB.
Element x y z (fractional)
Ac (0.500, 0.000, 0.000)  0.00
Gd (0.500, 0.500, 0.500)  7.17
Pr (0.000, 0.000, 0.500)  -0.01
Pr (0.000, 0.500, 0.000)  -0.01

Results
- calculated volume (A^3/atom) = 37.20
- energy of formation (eV/atom) = 0.020
- D(E_F) (states/eV/cell) = 6.531
- SG = P4/mmm

---

(4)
A plane-wave DFT calculation with PBE-GGA was carried out for an optimized crystal structure of Pr5Th3Se8.

a b c (Å): 8.437 8.437 8.521
angles (deg): 60.32 60.32 60.00
Element x y z (fractional)
Pr (0.500, 0.500, 0.000)
Th (0.500, 0.000, 0.500)
Se (0.751, 0.751, 0.748)
Se (0.750, 0.248, 0.252)
Se (0.250, 0.250, 0.748)
Th (0.000, 0.500, 0.500)
Se (0.250, 0.752, 0.748)
Pr (0.000, 0.000, 0.000)
Pr (0.500, 0.000, 0.000)
Se (0.248, 0.750, 0.252)
Se (0.750, 0.750, 0.252)
Th (0.000, 0.000, 0.500)
Se (0.249, 0.249, 0.252)
Pr (0.000, 0.500, 0.000)
Pr (0.500, 0.500, 0.500)
Se (0.752, 0.250, 0.748)

Results
- calculated volume (A^3/atom) = 26.94
- final energy (eV per atom) = -6.352
- D(E_F) (states/eV/cell) = 8.530
- SG = R-3m